[1]
The following is a PBE calculation of crystalline CeAsIrS at its relaxed geometry, from Alexandria via LeMat-Bulk.

Computed properties:
E_form (uncorrected)   -1.075 eV/atom
Magnetization   0.00 μB/atom

```
8
Lattice="-4.0891 0.4169 -0.8651 0.4650 -2.4514 -3.3789 -1.7726 -7.1418 4.9373" Properties=species:S:1:pos:R:3 pbc="T T T"
S -0.8863 -3.5709 2.4686
S -2.6984 -4.5881 0.3466
Ir 0.0000 0.0000 0.0000
Ir -1.8121 -1.0173 -2.1220
Ce -0.2983 -3.3642 -0.2110
Ce -3.2864 -4.7948 3.0263
As -2.3293 -0.9390 0.3607
As -1.2554 -7.2200 2.4546
```

[2]
The following is a PBE calculation of crystalline BaLiTl2 at its relaxed geometry, from Alexandria via LeMat-Bulk.

Computed properties:
Calculated formation energy   -0.32 eV per atom
Magnetization   0.00 μB/atom

```
4
Lattice="4.9123 -0.0057 0.0089 2.4639 4.2497 0.0089 2.4489 1.4090 6.2511" Properties=species:S:1:pos:R:3 pbc="T T T"
Ba 7.3688 4.2397 4.7018
Tl 7.3750 4.2433 0.7665
Tl 4.9136 2.8271 2.3859
Li 2.4563 1.4132 1.5673
```